(1)
Entry from Alexandria via LeMat-Bulk: a relaxed AgIrRhW2 crystal (PBE).

Output
For the density, the calculation gives 12.26 g cm⁻³. As for the calculated volume: 20.87 A^3/atom. The calculation puts the formation enthalpy at 0 K at 1973 meV per atom. For the calculated total energy, the calculation gives -7.02 eV/atom.

Structure (CIF):
```
data_AgIrRhW2
_chemical_formula_sum 'Ag1 Ir1 Rh1 W2'
_cell_length_a 4.653
_cell_length_b 4.653
_cell_length_c 4.820
_cell_angle_alpha 90.00
_cell_angle_beta 90.00
_cell_angle_gamma 90.00
_symmetry_space_group_name_H-M 'P 4/m m m'
_symmetry_Int_Tables_number 123
_symmetry_space_group_name_Hall '-P 4 2'
loop_
_atom_site_label
_atom_site_type_symbol
_atom_site_fract_x
_atom_site_fract_y
_atom_site_fract_z
_atom_site_occupancy
Ag1 Ag 0.000 0.000 0.000 1
Ir1 Ir 0.500 0.500 0.000 1
Rh1 Rh 0.500 0.500 0.500 1
W1 W 0.000 0.500 0.500 1
```



(2)
Entry from Alexandria via LeMat-Bulk: a relaxed CaHgP4 crystal (PBE).

Output
For the density, the calculation gives 4.96 g cm⁻³. As for the calculated volume: 20.36 A^3/atom. The calculation puts the formation enthalpy at 0 K at 15 meV per atom. For the calculated total energy, the calculation gives -3.98 eV/atom.

Structure (CIF):
```
data_CaHgP4
_chemical_formula_sum 'Ca4 Hg4 P16'
_cell_length_a 7.876
_cell_length_b 7.876
_cell_length_c 7.876
_cell_angle_alpha 90.00
_cell_angle_beta 90.00
_cell_angle_gamma 90.00
_symmetry_space_group_name_H-M 'F -4 3 m'
_symmetry_Int_Tables_number 216
_symmetry_space_group_name_Hall 'F -4 2 3'
loop_
_atom_site_label
_atom_site_type_symbol
_atom_site_fract_x
_atom_site_fract_y
_atom_site_fract_z
_atom_site_occupancy
Ca1 Ca 0.000 0.000 0.000 1
Hg1 Hg 0.250 0.250 0.750 1
P1 P 0.106 0.106 0.394 1
```



(3)
Entry from Alexandria via LeMat-Bulk: a relaxed Sm7Dy2Sc2 crystal (PBE).

Output
For the density, the calculation gives 6.62 g cm⁻³. As for the calculated volume: 33.44 A^3/atom. The calculation puts the excess energy over the best structure of this formula in the dataset at 0.163 eV/atom. The calculation puts the formation enthalpy at 0 K at 339 meV per atom. For the calculated total energy, the calculation gives -4.65 eV/atom.

Structure (CIF):
```
data_Sm7Dy2Sc2
_chemical_formula_sum 'Sm14 Dy4 Sc4'
_cell_length_a 6.564
_cell_length_b 11.755
_cell_length_c 9.534
_cell_angle_alpha 90.00
_cell_angle_beta 90.00
_cell_angle_gamma 90.00
_symmetry_space_group_name_H-M 'C m m m'
_symmetry_Int_Tables_number 65
_symmetry_space_group_name_Hall '-C 2 2'
loop_
_atom_site_label
_atom_site_type_symbol
_atom_site_fract_x
_atom_site_fract_y
_atom_site_fract_z
_atom_site_occupancy
Sm1 Sm 0.000 0.000 0.000 1
Sm2 Sm 0.000 0.500 0.182 1
Sm3 Sm 0.250 0.250 0.307 1
Dy1 Dy 0.250 0.000 0.500 1
Sc1 Sc 0.000 0.269 0.000 1
```



(4)
Entry from Alexandria via LeMat-Bulk: a relaxed LiHoIn2 crystal (PBE).

Output
For the density, the calculation gives 7.06 g cm⁻³. As for the calculated volume: 23.60 A^3/atom. The calculation puts the excess energy over the best structure of this formula in the dataset at 0.014 eV/atom. The calculation puts the formation enthalpy at 0 K at -377 meV per atom. For the calculated total energy, the calculation gives -3.37 eV/atom.

Structure (CIF):
```
data_LiHoIn2
_chemical_formula_sum 'Li4 Ho4 In8'
_cell_length_a 7.227
_cell_length_b 7.227
_cell_length_c 7.227
_cell_angle_alpha 90.00
_cell_angle_beta 90.00
_cell_angle_gamma 90.00
_symmetry_space_group_name_H-M 'F m -3 m'
_symmetry_Int_Tables_number 225
_symmetry_space_group_name_Hall '-F 4 2 3'
loop_
_atom_site_label
_atom_site_type_symbol
_atom_site_fract_x
_atom_site_fract_y
_atom_site_fract_z
_atom_site_occupancy
Li1 Li 0.000 0.000 0.000 1
Ho1 Ho 0.000 0.000 0.500 1
In1 In 0.250 0.250 0.250 1
```



(5)
Entry from Alexandria via LeMat-Bulk: a relaxed Ba3Hg5Cl12 crystal (PBE).

Output
For the density, the calculation gives 4.37 g cm⁻³. For the uncorrected formation energy, the calculation gives -25.783 eV per formula unit. As for the calculated volume: 34.97 A^3/atom. For the calculated total energy, the calculation gives -2.76 eV/atom.

Structure (CIF):
```
data_Ba3Hg5Cl12
_chemical_formula_sum 'Ba24 Hg40 Cl96'
_cell_length_a 17.753
_cell_length_b 17.753
_cell_length_c 17.753
_cell_angle_alpha 90.00
_cell_angle_beta 90.00
_cell_angle_gamma 90.00
_symmetry_space_group_name_H-M 'I a -3 d'
_symmetry_Int_Tables_number 230
_symmetry_space_group_name_Hall '-I 4bd 2c 3'
loop_
_atom_site_label
_atom_site_type_symbol
_atom_site_fract_x
_atom_site_fract_y
_atom_site_fract_z
_atom_site_occupancy
Ba1 Ba 0.000 0.250 0.125 1
Hg1 Hg 0.000 0.000 0.000 1
Hg2 Hg 0.000 0.250 0.375 1
Cl1 Cl 0.028 0.070 0.670 1
```



(6)
Entry from Alexandria via LeMat-Bulk: a relaxed SnBi crystal (PBE).

Output
For the density, the calculation gives 7.09 g cm⁻³. As for the calculated volume: 38.36 A^3/atom. The calculation puts the formation enthalpy at 0 K at 60 meV per atom. For the calculated total energy, the calculation gives -3.88 eV/atom.

Structure (CIF):
```
data_SnBi
_chemical_formula_sum 'Sn6 Bi6'
_cell_length_a 4.5783
_cell_length_b 4.5783
_cell_length_c 25.3549
_cell_angle_alpha 90.00
_cell_angle_beta 90.00
_cell_angle_gamma 120.00
_symmetry_space_group_name_H-M 'R 3 m'
_symmetry_Int_Tables_number 160
_symmetry_space_group_name_Hall 'R 3 -2"'
loop_
_atom_site_label
_atom_site_type_symbol
_atom_site_fract_x
_atom_site_fract_y
_atom_site_fract_z
_atom_site_occupancy
Sn1 Sn 0.0000 0.0000 0.0000 1
Sn2 Sn 0.0000 0.0000 0.1135 1
Bi1 Bi 0.0000 0.0000 0.2792 1
Bi2 Bi 0.0000 0.0000 0.5015 1
```



(7)
Entry from Alexandria via LeMat-Bulk: a relaxed RbAg2Se2O6 crystal (PBE).

Output
For the density, the calculation gives 4.66 g cm⁻³. For the uncorrected formation energy, the calculation gives -7.958 eV per formula unit. As for the calculated volume: 17.98 A^3/atom. For the calculated total energy, the calculation gives -4.67 eV/atom.

Structure (CIF):
```
data_RbAg2Se2O6
_chemical_formula_sum 'Rb1 Ag2 Se2 O6'
_cell_length_a 5.853
_cell_length_b 6.222
_cell_length_c 6.532
_cell_angle_alpha 82.94
_cell_angle_beta 64.39
_cell_angle_gamma 67.43
_symmetry_space_group_name_H-M 'P -1'
_symmetry_Int_Tables_number 2
_symmetry_space_group_name_Hall '-P 1'
loop_
_atom_site_label
_atom_site_type_symbol
_atom_site_fract_x
_atom_site_fract_y
_atom_site_fract_z
_atom_site_occupancy
Rb1 Rb 0.000 0.000 0.000 1
Ag1 Ag 0.341 0.362 0.753 1
Se1 Se 0.186 0.233 0.368 1
O1 O 0.104 0.394 0.150 1
O2 O 0.305 0.952 0.265 1
O3 O 0.462 0.284 0.354 1
```



(8)
Entry from Alexandria via LeMat-Bulk: a relaxed YSnTeI2 crystal (PBE).

Output
For the density, the calculation gives 4.76 g cm⁻³. For the uncorrected formation energy, the calculation gives 0.088 eV per formula unit. As for the calculated volume: 41.10 A^3/atom. The calculation puts the excess energy over the best structure of this formula in the dataset at 0.495 eV/atom. For the calculated total energy, the calculation gives -3.32 eV/atom.

Structure (CIF):
```
data_YSnTeI2
_chemical_formula_sum 'Y1 Sn1 Te1 I2'
_cell_length_a 5.850
_cell_length_b 5.850
_cell_length_c 6.004
_cell_angle_alpha 90.00
_cell_angle_beta 90.00
_cell_angle_gamma 90.00
_symmetry_space_group_name_H-M 'P 4/m m m'
_symmetry_Int_Tables_number 123
_symmetry_space_group_name_Hall '-P 4 2'
loop_
_atom_site_label
_atom_site_type_symbol
_atom_site_fract_x
_atom_site_fract_y
_atom_site_fract_z
_atom_site_occupancy
Y1 Y 0.000 0.000 0.000 1
Sn1 Sn 0.500 0.500 0.500 1
Te1 Te 0.500 0.500 0.000 1
I1 I 0.000 0.500 0.500 1
```